(1)
The following is a DFT calculation (PBE) of a relaxed Li3SbF crystal.

a = 4.2020 Å, b = 4.2020 Å, c = 4.2020 Å
α = 90.00°, β = 90.00°, γ = 90.00°
With the nearest neighbours (Å) after each atom.
Sites, in units of the cell vectors:
Sb  0.5000  0.5000  0.5000  12 Li 2.97
Li  0.0000  0.5000  0.0000  2 F 2.10
Li  0.0000  0.0000  0.5000  2 F 2.10
Li  0.5000  0.0000  0.0000  2 F 2.10
F  0.0000  0.0000  0.0000  6 Li 2.10

## Properties
The size of the total moment comes out at 0.00 μB per atom. The density comes out at 3.62 g cm⁻³. The total energy is -3.748 eV per atom.


(2)
The following is a DFT calculation (PBE) of a relaxed KTm2Tl9 crystal.

a = 4.8496 Å, b = 4.8496 Å, c = 14.5493 Å
α = 90.00°, β = 90.00°, γ = 90.00°
With the nearest neighbours (Å) after each atom.
Sites, in units of the cell vectors:
K  0.0000  0.0000  0.0000  12 Tl 3.43-3.58
Tm  0.0000  0.0000  0.3469  12 Tl 3.29-3.43
Tm  0.0000  0.0000  0.6531  12 Tl 3.29-3.43
Tl  0.5000  0.5000  0.0000  4 K 3.43, 8 Tl 3.58
Tl  0.5000  0.5000  0.3360  8 Tl 3.31-3.40, 4 Tm 3.43
Tl  0.5000  0.5000  0.6640  8 Tl 3.31-3.40, 4 Tm 3.43
Tl  0.5000  0.0000  0.1807  8 Tl 3.31-3.58, 2 Tm 3.42, 2 K 3.58
Tl  0.5000  0.0000  0.5000  4 Tm 3.29, 8 Tl 3.40-3.43
Tl  0.5000  0.0000  0.8193  8 Tl 3.31-3.58, 2 Tm 3.42, 2 K 3.58
Tl  0.0000  0.5000  0.1807  8 Tl 3.31-3.58, 2 Tm 3.42, 2 K 3.58
Tl  0.0000  0.5000  0.5000  4 Tm 3.29, 8 Tl 3.40-3.43
Tl  0.0000  0.5000  0.8193  8 Tl 3.31-3.58, 2 Tm 3.42, 2 K 3.58

## Properties
The size of the total moment comes out at 0.00 μB per atom. The density comes out at 10.76 g cm⁻³. The formation energy from the elements comes out at -112 meV per atom.


(3)
The following is a DFT calculation (PBE) of a relaxed BaMnAl crystal.

a = 5.3349 Å, b = 5.3349 Å, c = 5.3349 Å
α = 60.00°, β = 60.00°, γ = 60.00°
With the nearest neighbours (Å) after each atom.
Sites, in units of the cell vectors:
Mn  0.0000  0.0000  0.0000  4 Ba 3.27
Ba  0.7500  0.7500  0.7500  4 Mn 3.27, 4 Al 3.27
Al  0.5000  0.5000  0.5000  4 Ba 3.27

## Properties
The size of the total moment comes out at 1.30 μB per atom. The density comes out at 3.39 g cm⁻³. The formation energy from the elements comes out at 1050 meV per atom.


Copy entry 3 word for word.
The following is a DFT calculation (PBE) of a relaxed BaMnAl crystal.

a = 5.3349 Å, b = 5.3349 Å, c = 5.3349 Å
α = 60.00°, β = 60.00°, γ = 60.00°
With the nearest neighbours (Å) after each atom.
Sites, in units of the cell vectors:
Mn  0.0000  0.0000  0.0000  4 Ba 3.27
Ba  0.7500  0.7500  0.7500  4 Mn 3.27, 4 Al 3.27
Al  0.5000  0.5000  0.5000  4 Ba 3.27

## Properties
The size of the total moment comes out at 1.30 μB per atom. The density comes out at 3.39 g cm⁻³. The formation energy from the elements comes out at 1050 meV per atom.


Look up the size of the total moment of the first one.
0.00 μB per atom


Please write out number 1 again, unchanged.
The following is a DFT calculation (PBE) of a relaxed Li3SbF crystal.

a = 4.2020 Å, b = 4.2020 Å, c = 4.2020 Å
α = 90.00°, β = 90.00°, γ = 90.00°
With the nearest neighbours (Å) after each atom.
Sites, in units of the cell vectors:
Sb  0.5000  0.5000  0.5000  12 Li 2.97
Li  0.0000  0.5000  0.0000  2 F 2.10
Li  0.0000  0.0000  0.5000  2 F 2.10
Li  0.5000  0.0000  0.0000  2 F 2.10
F  0.0000  0.0000  0.0000  6 Li 2.10

## Properties
The size of the total moment comes out at 0.00 μB per atom. The density comes out at 3.62 g cm⁻³. The total energy is -3.748 eV per atom.


size of the total moment of number 1 (Li3SbF)?
0.00 μB per atom